Here is a PBEsol-optimized structure of ScTc2Te from Alexandria. Energies are from meta-GGA SCAN.

Summary:
VASP energy: -121.36 eV for the cell shown
energy relative to the elements, uncorrected: 0.0625 eV per atom

Lattice parameters (Å, degrees): 3.469 4.330 4.482 90.00 90.00 90.00
Space group Pmmm (No. 47)
Asymmetric unit:
Sc  0.000  0.000  0.000 [1 per cell]
Tc  0.000  0.500  0.500 [1 per cell]
Tc  0.500  0.000  0.500 [1 per cell]
Te  0.500  0.500  0.000 [1 per cell]

---

Here is a PBEsol-optimized structure of Sc2TcTe from Alexandria. Energies are from meta-GGA SCAN.

Summary:
VASP energy: -302.05 eV for the cell shown
energy relative to the elements, uncorrected: 0.0257 eV per atom

Lattice parameters (Å, degrees): 3.2572 3.2572 27.0323 90.00 90.00 120.00
Space group R3m (No. 160, hexagonal axes)
Asymmetric unit:
Sc  0.0000  0.0000  0.0000 [3 per cell]
Sc  0.0000  0.0000  0.2349 [3 per cell]
Tc  0.0000  0.0000  0.7427 [3 per cell]
Te  0.0000  0.0000  0.4791 [3 per cell]